[1]
VASP calculation (GGA-PBE) on a relaxed structure of V5Ge6Os.

```
V5Ge6Os
1.0
-2.767 -2.422 3.664
5.352 -6.043 3.361
3.969 -0.351 4.423
V Ge Os
5 6 1
Direct
0.500 0.166 0.668
0.000 0.342 0.316
0.500 0.500 0.000
0.000 0.658 0.684
0.500 0.834 0.332
0.749 0.080 0.337
0.251 0.583 0.337
0.248 0.246 0.000
0.752 0.754 0.000
0.749 0.417 0.663
0.251 0.920 0.663
0.000 0.000 0.000
```

Computed properties:
Formation energy (eV per atom): 0.024
Total DFT energy (no corrections) (eV per atom): -7.02

***

[2]
VASP calculation (GGA-PBE) on a relaxed structure of VGeOs.

```
VGeOs
1.0
-2.328 1.393 -0.780
-1.202 0.250 4.034
2.385 3.044 -1.682
Ge Os V
1 1 1
Direct
0.167 0.000 0.000
0.167 0.333 0.667
0.667 0.667 0.333
```

Computed properties:
Formation energy (eV per atom): -0.114
Total DFT energy (no corrections) (eV per atom): -8.44

***

[3]
VASP calculation (GGA-PBE) on a relaxed structure of VGe2Os.

```
VGe2Os
1.0
3.782 0.000 0.000
0.000 3.782 0.000
1.891 1.891 8.910
Ge Os V
4 2 2
Direct
0.621 0.125 0.250
0.129 0.625 0.250
0.375 0.379 0.750
0.875 0.871 0.750
0.000 0.000 0.000
0.750 0.250 0.500
0.500 0.500 0.000
0.250 0.750 0.500
```

Computed properties:
Energy above the most stable polymorph in this dataset (meV/atom): 331
Formation energy (eV per atom): 0.352
Total DFT energy (no corrections) (eV per atom): -7.04

***

[4]
VASP calculation (GGA-PBE) on a relaxed structure of VGeOs.

```
VGeOs
1.0
6.008 0.000 0.000
0.000 6.702 0.950
0.000 -1.459 4.156
Ge V Os
4 4 4
Direct
0.381 0.838 0.817
0.619 0.162 0.183
0.119 0.838 0.317
0.881 0.162 0.683
0.380 0.490 0.250
0.620 0.510 0.750
0.880 0.510 0.250
0.120 0.490 0.750
0.905 0.801 0.808
0.595 0.801 0.308
0.095 0.199 0.192
0.405 0.199 0.692
```

Computed properties:
Formation energy (eV per atom): 0.053
Total DFT energy (no corrections) (eV per atom): -8.27

***

[5]
VASP calculation (GGA-PBE) on a relaxed structure of V12Ge6Os.

```
V12Ge6Os
1.0
7.106 -0.717 -0.859
-1.786 6.915 -0.859
-1.786 -2.081 6.651
V Ge Os
12 6 1
Direct
0.907 0.696 0.631
0.631 0.907 0.696
0.696 0.631 0.907
0.093 0.304 0.369
0.369 0.093 0.304
0.304 0.369 0.093
0.027 0.883 0.325
0.117 0.675 0.973
0.675 0.973 0.117
0.973 0.117 0.675
0.883 0.325 0.027
0.325 0.027 0.883
0.647 0.755 0.323
0.677 0.353 0.245
0.245 0.677 0.353
0.353 0.245 0.677
0.323 0.647 0.755
0.755 0.323 0.647
0.000 0.000 0.000
```

Computed properties:
Formation energy (eV per atom): 0.021
Total DFT energy (no corrections) (eV per atom): -7.79

***

[6]
VASP calculation (GGA-PBE) on a relaxed structure of VGeOs2.

```
VGeOs2
1.0
-2.901 0.569 -2.408
-2.474 -0.730 2.808
-2.783 8.338 2.304
Ge Os V
2 4 2
Direct
0.000 0.000 0.000
0.750 0.250 0.500
0.649 0.125 0.250
0.101 0.625 0.250
0.375 0.351 0.750
0.875 0.899 0.750
0.500 0.500 0.000
0.250 0.750 0.500
```

Computed properties:
Formation energy (eV per atom): 0.527
Total DFT energy (no corrections) (eV per atom): -8.52

***

[7]
VASP calculation (GGA-PBE) on a relaxed structure of VGeOs.

```
VGeOs
1.0
-0.361 -3.964 -0.226
2.358 -0.122 -1.626
8.468 -1.480 12.386
Ge Os V
4 4 4
Direct
0.500 0.000 0.798
0.500 0.500 0.298
0.000 0.000 0.064
0.000 0.500 0.564
0.000 0.000 0.898
0.000 0.500 0.398
0.500 0.000 0.628
0.500 0.500 0.128
0.500 0.000 0.467
0.500 0.500 0.967
0.000 0.000 0.237
0.000 0.500 0.737
```

Computed properties:
Formation energy (eV per atom): -0.133
Total DFT energy (no corrections) (eV per atom): -8.46

***

[8]
VASP calculation (GGA-PBE) on a relaxed structure of VGeOs.

```
VGeOs
1.0
2.903 0.000 -0.006
0.000 4.286 0.000
-0.864 0.000 6.909
Ge Os V
2 2 2
Direct
0.673 0.500 0.587
0.542 0.000 0.145
0.703 0.000 0.790
0.058 0.500 0.264
0.316 0.500 0.929
0.136 0.000 0.470
```

Computed properties:
Formation energy (eV per atom): -0.069
Total DFT energy (no corrections) (eV per atom): -8.39

***

[9]
VASP calculation (GGA-PBE) on a relaxed structure of VGeOs.

```
VGeOs
1.0
6.734 0.000 0.013
0.000 4.603 0.000
-5.944 0.000 5.457
Ge Os V
4 4 4
Direct
0.323 0.405 0.458
0.823 0.595 0.958
0.323 0.905 0.958
0.823 0.095 0.458
0.814 0.582 0.282
0.314 0.418 0.782
0.814 0.082 0.782
0.314 0.918 0.282
0.327 0.419 0.131
0.827 0.581 0.631
0.327 0.919 0.631
0.827 0.081 0.131
```

Computed properties:
Formation energy (eV per atom): -0.073
Total DFT energy (no corrections) (eV per atom): -8.39

***

[10]
VASP calculation (GGA-PBE) on a relaxed structure of V3GeOs.

```
V3GeOs
1.0
-4.169 1.312 0.164
-1.316 -4.170 -0.087
0.130 -0.132 4.369
Ge Os V
1 1 3
Direct
0.000 0.000 0.000
0.500 0.500 0.500
0.000 0.500 0.000
0.000 0.000 0.500
0.500 0.000 0.000
```

Computed properties:
Energy above the most stable polymorph in this dataset (meV/atom): 180
Formation energy (eV per atom): 1.207
Total DFT energy (no corrections) (eV per atom): -7.43

***

[11]
VASP calculation (GGA-PBE) on a relaxed structure of VGeOs2.

```
VGeOs2
1.0
-2.612 -0.193 -1.507
1.512 -0.631 -2.539
-0.310 -5.997 1.306
Ge Os V
1 2 1
Direct
0.500 0.500 0.000
0.000 0.000 0.752
0.000 0.000 0.248
0.500 0.500 0.500
```

Computed properties:
Formation energy (eV per atom): -0.057
Total DFT energy (no corrections) (eV per atom): -9.11

***

[12]
VASP calculation (GGA-PBE) on a relaxed structure of V4Ge2Os.

```
V4Ge2Os
1.0
6.165 -1.179 -0.680
-1.572 6.473 0.450
-2.696 -2.515 5.568
V Ge Os
8 4 2
Direct
0.999 0.162 0.308
0.356 0.405 0.192
0.894 0.586 0.548
0.765 0.163 0.825
0.408 0.068 0.352
0.251 0.059 0.663
0.485 0.810 0.899
0.842 0.694 0.159
0.518 0.470 0.656
0.732 0.888 0.452
0.625 0.247 0.122
0.125 0.606 0.981
0.246 0.665 0.423
0.004 0.928 0.919
```

Computed properties:
Formation energy (eV per atom): -0.128
Total DFT energy (no corrections) (eV per atom): -8.26